No. 1
## NdPuInHg (PBE)

Data for an optimized crystal structure of NdPuInHg.

Cell: 5.4146 5.4146 5.4146 Å, 60.00 60.00 60.00°
Site moments in Bohr magnetons follow the coordinates.
Element x y z (fractional)
In1 0.2500 0.2500 0.2500  -0.01
Nd1 0.5000 0.5000 0.5000  0.21
Hg1 0.7500 0.7500 0.7500  0.04
Pu1 0.0000 0.0000 0.0000  5.56

## Properties
- SG = No. 216
- ρ (g cm⁻³) = 10.41
- E (eV for the cell shown) = -23.20



No. 2
## AcEr2O (PBE)

Data for an optimized crystal structure of AcEr2O.

Cell: 3.2990 3.2990 8.8839 Å, 90.00 90.00 90.00°
Element x y z (fractional)
Ac1 0.5000 0.5000 0.5000
O1 0.5000 0.5000 0.0000
Er1 0.0000 0.0000 0.8270
Er2 0.0000 0.0000 0.1730

## Properties
- SG = No. 123
- ρ (g cm⁻³) = 9.92
- energy relative to the lowest polymorph listed for this composition (eV/f.u.) = 2.09



No. 3
## Hf2Ti2Mo (PBE)

Data for an optimized crystal structure of Hf2Ti2Mo.

Cell: 6.3521 6.3521 4.8110 Å, 90.00 90.00 90.00°
Element x y z (fractional)
Mo1 0.0000 0.0000 0.0000
Mo2 0.5000 0.5000 0.0000
Hf1 0.1685 0.6685 0.5000
Hf2 0.6685 0.8315 0.5000
Hf3 0.8315 0.3315 0.5000
Hf4 0.3315 0.1685 0.5000
Ti1 0.3542 0.8542 0.0000
Ti2 0.8542 0.6458 0.0000
Ti3 0.6458 0.1458 0.0000
Ti4 0.1458 0.3542 0.0000

## Properties
- SG = No. 127
- ρ (g cm⁻³) = 9.39
- E (eV for the cell shown) = -91.74